Material: RbMoF3
Method: DFT, GGA+U
State: optimized geometry

Magnetization (μB/atom): 0.800
Uncorrected energy (eV for the cell shown): -100.61

Cell lengths 6.397, 6.397, 9.579 Å; angles 90.00, 90.00, 90.00 degrees
Space group I4/mmm (No. 139)
One atom of each set of equivalent atoms:
Rb (0.000, 0.500, 0.250)
Mo (0.000, 0.000, 0.000)
Mo (0.000, 0.000, 0.500)
F (0.000, 0.000, 0.223)
F (0.239, 0.239, 0.500)